Record 1
# GGA-PBE PmDy2PuAs4, relaxed
# Formation energy: -11.142 eV/f.u.
data_PmDy2PuAs4
_cell_length_a 7.182
_cell_length_b 4.159
_cell_length_c 7.190
_cell_angle_alpha 90.00
_cell_angle_beta 109.48
_cell_angle_gamma 90.00
_symmetry_space_group_name_H-M 'P 1 2/m 1'
_symmetry_Int_Tables_number 10
_symmetry_space_group_name_Hall '-P 2y'
loop_
_atom_site_label
_atom_site_type_symbol
_atom_site_fract_x
_atom_site_fract_y
_atom_site_fract_z
Pm1 Pm 0.000 0.000 0.000
Dy1 Dy 0.500 0.000 0.500
Dy2 Dy 0.500 0.500 0.000
Pu1 Pu 0.000 0.500 0.500
As1 As 0.251 0.000 0.746
As2 As 0.254 0.500 0.256

---

Record 2
# GGA-PBE LaCr2Cd, relaxed
# Formation energy: 3.045 eV/f.u.
data_LaCr2Cd
_cell_length_a 3.2915
_cell_length_b 3.2915
_cell_length_c 28.9192
_cell_angle_alpha 90.00
_cell_angle_beta 90.00
_cell_angle_gamma 120.00
_symmetry_space_group_name_H-M 'R -3 m'
_symmetry_Int_Tables_number 166
_symmetry_space_group_name_Hall '-R 3 2"'
loop_
_atom_site_label
_atom_site_type_symbol
_atom_site_fract_x
_atom_site_fract_y
_atom_site_fract_z
La1 La 0.0000 0.0000 0.0000
Cr1 Cr 0.0000 0.0000 0.2433
Cd1 Cd 0.0000 0.0000 0.5000

---

> What is the formula in the first record?

PmDy2PuAs4

---

> Which of these has the highest formation energy?

LaCr2Cd

---

> Which of these has the lowest formation energy?

PmDy2PuAs4

---

> Number 2 is which compound?

LaCr2Cd